Entry from Alexandria: a relaxed HoFe3B4O12 crystal (GGA+U).

Cell and atoms, written as extended XYZ:
```
60
Lattice="-0.123 9.168 -2.854 -7.761 -5.518 -1.237 -2.592 2.105 6.873" Properties=species:S:1:pos:R:3 pbc="T T T"
O -4.517 1.182 4.928
O -8.095 -2.140 1.765
Fe -6.188 -1.238 -1.852
B -8.162 -0.780 1.538
O -7.051 -0.063 1.956
O -6.316 3.594 3.450
O -2.170 2.467 5.505
B -5.696 0.462 4.920
Fe -6.974 3.229 -3.619
Fe -6.964 1.907 2.556
O -4.935 -1.534 2.709
O -3.891 3.564 1.607
O -2.779 1.739 2.667
O -3.638 5.916 0.715
O -2.547 4.063 -1.138
Fe -3.409 5.236 2.671
B -5.617 -3.336 0.319
O -5.046 1.478 1.973
Fe -0.878 1.760 1.962
O -3.341 7.078 3.570
O -3.302 -0.252 0.399
B -3.912 2.264 2.079
O -6.811 1.174 4.500
O -8.887 1.870 3.236
O -8.567 4.418 -0.337
O -1.457 5.398 2.191
O -7.523 2.604 0.764
B -6.484 4.885 3.007
Ho -2.647 1.225 -1.374
O -1.036 -0.078 1.049
O -2.149 6.946 -1.674
O -5.952 8.312 2.436
O -5.991 0.437 -0.629
O -6.733 -4.129 0.141
B -1.421 3.738 -0.395
O -7.680 5.444 2.601
Ho -6.883 -2.262 3.760
Fe -2.624 0.766 4.439
O -4.589 5.273 -2.011
B -2.187 3.785 5.095
O -3.305 4.216 4.390
O -5.390 5.736 2.941
O -1.454 2.488 0.191
O -2.260 9.197 3.410
Fe -5.269 7.447 4.124
Ho -0.946 6.791 0.395
O -8.846 -0.951 4.186
O -4.620 2.374 -0.907
B -2.242 7.879 3.820
Fe -5.178 -0.356 1.091
O -8.147 -0.880 -1.534
B -3.871 7.255 0.435
O -6.301 4.700 0.280
B -7.433 3.894 0.251
B -5.794 1.703 -1.161
B -2.151 -0.872 0.871
O -5.674 -1.999 -0.030
Fe -4.418 4.267 -0.245
O -6.843 2.184 -1.919
O -2.839 8.107 0.779
```

Output
**Total DFT energy (no corrections)**: -457.8 eV for the cell shown
**Fermi-level density of states**: 0.000 states/eV per cell